LaTlZnPt | the Alexandria database | PBE | relaxed; calculated volume = 22.668 Å³ per atom; M_tot = 0.0000 μB per atom; calculated total energy = -4.15 eV/atom; N(E_F) = 1.020 states/eV per atom; DFT formation energy = -0.50 eV/atom
1.0
0.000 3.566 3.566
3.566 0.000 3.566
3.566 3.566 0.000
La Tl Zn Pt
1 1 1 1
direct
0.000 0.000 0.000
0.500 0.500 0.500
0.750 0.750 0.750
0.250 0.250 0.250